[1]
Computed, not measured: a geometry-optimized PmNbOsRh structure at the PBE-GGA level of DFT.

Unit cell a=4.7208 b=4.7208 c=4.7208 alpha=60.00 beta=60.00 gamma=60.00
With the nearest neighbours (Å) after each atom.
Sites, in units of the cell vectors:
Pm  0.0000  0.0000  0.0000  4 Os 2.89, 4 Rh 2.89
Nb  0.5000  0.5000  0.5000  4 Os 2.89, 4 Rh 2.89
Os  0.7500  0.7500  0.7500  4 Nb 2.89, 4 Pm 2.89
Rh  0.2500  0.2500  0.2500  4 Nb 2.89, 4 Pm 2.89

Computed properties:
E_form = -114 meV per atom



[2]
Computed, not measured: a geometry-optimized CoRuAu2 structure at the PBE-GGA level of DFT.

Unit cell a=2.7489 b=2.7489 c=9.4586 alpha=90.00 beta=90.00 gamma=117.63
With the nearest neighbours (Å) after each atom.
Sites, in units of the cell vectors:
Co  0.0000  0.0000  0.0000  2 Ru 2.46, 2 Au 2.71, 4 Co 2.75
Ru  0.5000  0.5000  0.7881  2 Co 2.46, 4 Ru 2.75
Au  0.0000  0.0000  0.5247  8 Au 2.75-3.01, 2 Ru 2.87
Au  0.5000  0.5000  0.2441  2 Co 2.71, 8 Au 2.75-3.01

Computed properties:
E_form = 348 meV per atom



[3]
Computed, not measured: a geometry-optimized SrSc2Co2 structure at the PBE-GGA level of DFT.

Unit cell a=6.2621 b=6.2621 c=6.2621 alpha=136.96 beta=136.96 gamma=62.51
With the nearest neighbours (Å) after each atom.
Sites, in units of the cell vectors:
Sr  0.0000  0.0000  0.0000  8 Co 3.53, 10 Sc 3.60-3.69
Sc  0.3360  0.3360  0.0000  4 Co 2.48
Sc  0.6640  0.6640  0.0000  4 Co 2.48
Co  0.2500  0.7500  0.5000  4 Sc 2.48
Co  0.7500  0.2500  0.5000  4 Sc 2.48

Computed properties:
energy above the lowest structure with this stoichiometry = 0.1770 eV/atom
E_form = 158 meV per atom



[4]
Computed, not measured: a geometry-optimized La3MoIr structure at the PBE-GGA level of DFT.

Unit cell a=5.5827 b=5.5827 c=5.5827 alpha=90.00 beta=90.00 gamma=90.00
With the nearest neighbours (Å) after each atom.
Sites, in units of the cell vectors:
La  0.0000  0.0000  0.5000  2 Ir 2.79
La  0.0000  0.5000  0.0000  2 Ir 2.79
La  0.5000  0.0000  0.0000  2 Ir 2.79
Mo  0.5000  0.5000  0.5000  12 La 3.95
Ir  0.0000  0.0000  0.0000  6 La 2.79

Computed properties:
energy above the lowest structure with this stoichiometry = 0.0000 eV/atom
E_form = 373 meV per atom



[5]
Computed, not measured: a geometry-optimized NaVOs2Se structure at the PBE-GGA level of DFT.

Unit cell a=4.5959 b=4.5959 c=4.5311 alpha=90.00 beta=90.00 gamma=90.00
With the nearest neighbours (Å) after each atom.
Sites, in units of the cell vectors:
Na  0.0000  0.0000  0.0000  8 Os 3.23, 4 V 3.25
V  0.5000  0.5000  0.0000  2 Se 2.27
Os  0.0000  0.5000  0.5000  2 Se 2.30
Os  0.5000  0.0000  0.5000  2 Se 2.30
Se  0.5000  0.5000  0.5000  2 V 2.27, 4 Os 2.30

Computed properties:
total energy = -29.9 eV per cell



[6]
Computed, not measured: a geometry-optimized LaNdPuTl structure at the PBE-GGA level of DFT.

Unit cell a=5.5804 b=5.5804 c=5.5804 alpha=60.00 beta=60.00 gamma=60.00
With the nearest neighbours (Å) after each atom.
Sites, in units of the cell vectors:
La  0.0000  0.0000  0.0000  4 Tl 3.42, 4 Pu 3.42
Nd  0.5000  0.5000  0.5000  4 Pu 3.42, 4 Tl 3.42
Pu  0.7500  0.7500  0.7500  4 Nd 3.42, 4 La 3.42
Tl  0.2500  0.2500  0.2500  4 Nd 3.42, 4 La 3.42

Computed properties:
E_form = -7 meV per atom



[7]
Computed, not measured: a geometry-optimized La2Cu3Pt12Rh structure at the PBE-GGA level of DFT.

Unit cell a=9.5930 b=9.5930 c=9.5930 alpha=41.37 beta=41.37 gamma=41.37
With the nearest neighbours (Å) after each atom.
Sites, in units of the cell vectors:
La  0.1603  0.1603  0.1603  3 Pt 2.98
La  0.8397  0.8397  0.8397  3 Pt 2.98
Cu  0.0000  0.5000  0.5000  6 Pt 2.51-2.54
Cu  0.5000  0.0000  0.5000  6 Pt 2.51-2.54
Cu  0.5000  0.5000  0.0000  6 Pt 2.51-2.54
Pt  0.0852  0.0852  0.6879  2 Cu 2.51, 4 Pt 2.62-2.69
Pt  0.0852  0.6879  0.0852  2 Cu 2.51, 4 Pt 2.62-2.69
Pt  0.1377  0.5756  0.5756  1 Rh 2.52, 1 Cu 2.54, 2 Pt 2.62
Pt  0.3121  0.9148  0.9148  2 Cu 2.51, 4 Pt 2.62-2.69
Pt  0.4244  0.4244  0.8623  1 Rh 2.52, 1 Cu 2.54, 2 Pt 2.62
Pt  0.4244  0.8623  0.4244  1 Rh 2.52, 1 Cu 2.54, 2 Pt 2.62
Pt  0.5756  0.1377  0.5756  1 Rh 2.52, 1 Cu 2.54, 2 Pt 2.62
Pt  0.5756  0.5756  0.1377  1 Rh 2.52, 1 Cu 2.54, 2 Pt 2.62
Pt  0.6879  0.0852  0.0852  2 Cu 2.51, 4 Pt 2.62-2.69
Pt  0.8623  0.4244  0.4244  1 Rh 2.52, 1 Cu 2.54, 2 Pt 2.62
Pt  0.9148  0.3121  0.9148  2 Cu 2.51, 4 Pt 2.62-2.69
Pt  0.9148  0.9148  0.3121  2 Cu 2.51, 4 Pt 2.62-2.69
Rh  0.5000  0.5000  0.5000  6 Pt 2.52

Computed properties:
E_form = -128 meV per atom



[8]
Computed, not measured: a geometry-optimized LiCo2AsH structure at the PBE-GGA level of DFT.

Unit cell a=3.6646 b=3.6646 c=3.4608 alpha=90.00 beta=90.00 gamma=90.00
With the nearest neighbours (Å) after each atom.
Sites, in units of the cell vectors:
Li  0.0000  0.0000  0.0000  2 H 1.73
Co  0.0000  0.5000  0.5000  2 H 1.83
Co  0.5000  0.0000  0.5000  2 H 1.83
As  0.5000  0.5000  0.0000  8 Co 2.52, 4 Li 2.59
H  0.0000  0.0000  0.5000  2 Li 1.73, 4 Co 1.83

Computed properties:
energy above the lowest structure with this stoichiometry = 0.0000 eV/atom